Al2Mo2O7 | PBE with a Hubbard U | relaxed

Output
For the calculated total energy, the calculation gives -7.21 eV/atom. Its polymorph energy (0 for the lowest one) is 0.000 eV per atom.

Lattice parameters (Å, degrees): 6.5636 6.5700 7.5224 71.02 71.42 68.81
Space group P1 (No. 1)
One atom of each set of equivalent atoms:
Al  0.0000  0.0000  0.0000 x1
Al  0.0072  0.4885  0.7158 x1
Al  0.1153  0.8749  0.5981 x1
Al  0.5325  0.8739  0.7383 x1
Mo  0.0289  0.3788  0.2605 x1
Mo  0.5570  0.8974  0.2232 x1
Mo  0.5844  0.4385  0.5984 x1
Mo  0.5855  0.4574  0.0858 x1
O  0.1716  0.0361  0.3493 x1
O  0.1849  0.9475  0.7789 x1
O  0.2509  0.5805  0.5982 x1
O  0.3073  0.4305  0.2325 x1
O  0.4611  0.8130  0.0435 x1
O  0.5285  0.1572  0.6975 x1
O  0.5448  0.8030  0.5017 x1
O  0.5547  0.5615  0.8241 x1
O  0.6934  0.1298  0.0617 x1
O  0.7121  0.3798  0.3176 x1
O  0.8557  0.7850  0.7036 x1
O  0.9132  0.7440  0.1511 x1
O  0.9249  0.3878  0.5595 x1
O  0.9969  0.3144  0.9656 x1